# ScRhW2, relaxed, DFT PBE
# - ΔE to the lowest computed polymorph (meV per atom) = 501.4
# - SG = Fm-3m (225)
# - formation energy from the elements (eV/atom) = 0.37
# - raw total energy (Ry/atom) = -0.700
# - mass density (Mg/m³) = 13.21
data_ScRhW2
_chemical_formula_sum 'Sc1 Rh1 W2'
_cell_length_a 4.5085
_cell_length_b 4.5085
_cell_length_c 4.5085
_cell_angle_alpha 60.00
_cell_angle_beta 60.00
_cell_angle_gamma 60.00
_space_group_name_H-M_alt 'P 1'
_space_group_IT_number 1
_space_group_name_Hall 'P 1'
loop_
_atom_site_label
_atom_site_type_symbol
_atom_site_fract_x
_atom_site_fract_y
_atom_site_fract_z
Sc1 Sc 0.0000 0.0000 0.0000
Rh1 Rh 0.5000 0.5000 0.5000
W1 W 0.2500 0.2500 0.2500
W2 W 0.7500 0.7500 0.7500